The following is a PBE calculation of a relaxed structure of FeTeW2, from Alexandria.

Cell lengths 3.226, 3.226, 6.301 Å; angles 90.00, 90.00, 90.00 degrees
Positions (direct):
Fe1 0.000 0.000 0.465
Te1 0.500 0.500 0.744
W1 0.000 0.000 0.017
W2 0.500 0.500 0.274

Results
E_tot = -8.92 eV/atom
total magnetization = 1.0 μB per formula unit


The following is a PBE calculation of a relaxed structure of FeTeW2, from Alexandria.

Cell lengths 5.142, 5.142, 5.142 Å; angles 136.54, 136.54, 63.15 degrees
Positions (direct):
Fe1 0.250 0.750 0.500
Te1 0.750 0.250 0.500
W1 0.000 0.000 0.000
W2 0.500 0.500 0.000

Results
E_tot = -8.68 eV/atom
total magnetization = 0.6 μB per formula unit


The following is a PBE calculation of a relaxed structure of FeTeW2, from Alexandria.

Cell lengths 4.532, 4.532, 4.532 Å; angles 60.00, 60.00, 60.00 degrees
Positions (direct):
Fe1 0.500 0.500 0.500
Te1 0.750 0.750 0.750
W1 0.000 0.000 0.000
W2 0.250 0.250 0.250

Results
E_tot = -8.61 eV/atom
total magnetization = 2.8 μB per formula unit


The following is a PBE calculation of a relaxed structure of YFe2TeW, from Alexandria.

Cell lengths 4.561, 5.453, 4.561 Å; angles 90.00, 90.00, 90.00 degrees
Positions (direct):
Y1 0.000 0.500 0.000
Te1 0.000 0.000 0.000
Fe1 0.000 0.000 0.500
Fe2 0.500 0.000 0.000
W1 0.500 0.500 0.500

Results
E_tot = -6.17 eV/atom
total magnetization = 0.3 μB per formula unit


The following is a PBE calculation of a relaxed structure of ZnFe2TeW, from Alexandria.

Cell lengths 4.329, 4.329, 4.688 Å; angles 90.00, 90.00, 90.00 degrees
Positions (direct):
Zn1 0.000 0.000 0.000
Te1 0.500 0.500 0.500
Fe1 0.000 0.500 0.000
Fe2 0.500 0.000 0.000
W1 0.000 0.000 0.500

Results
E_tot = -5.47 eV/atom
total magnetization = 5.1 μB per formula unit


The following is a PBE calculation of a relaxed structure of YFe2Te2, from Alexandria.

Cell lengths 4.874, 4.874, 5.542 Å; angles 63.91, 63.91, 90.00 degrees
Positions (direct):
Y1 0.000 0.000 0.000
Te1 0.750 0.250 0.500
Te2 0.250 0.750 0.500
Fe1 0.371 0.371 0.257
Fe2 0.629 0.629 0.743

Results
E_tot = -6.10 eV/atom
total magnetization = 3.2 μB per formula unit


The following is a PBE calculation of a relaxed structure of YFe2Te, from Alexandria.

Cell lengths 3.604, 3.604, 6.002 Å; angles 90.00, 90.00, 89.97 degrees
Positions (direct):
Fe1 0.000 0.000 0.041
Fe2 0.000 0.000 0.459
Te1 0.500 0.500 0.250
Y1 0.500 0.500 0.750

Results
E_tot = -6.55 eV/atom
total magnetization = 4.9 μB per formula unit


The following is a PBE calculation of a relaxed structure of Y5Fe2Te2, from Alexandria.

Cell lengths 7.764, 7.764, 15.286 Å; angles 90.00, 90.00, 150.41 degrees
Positions (direct):
Fe1 0.603 0.397 0.750
Fe2 0.397 0.603 0.250
Fe3 0.163 0.837 0.750
Fe4 0.837 0.163 0.250
Te1 0.617 0.383 0.460
Te2 0.383 0.617 0.960
Te3 0.617 0.383 0.040
Te4 0.383 0.617 0.540
Y1 0.961 0.039 0.382
Y2 0.039 0.961 0.882
Y3 0.961 0.039 0.118
Y4 0.039 0.961 0.618
Y5 0.743 0.257 0.627
Y6 0.257 0.743 0.127
Y7 0.743 0.257 0.873
Y8 0.257 0.743 0.373
Y9 0.399 0.601 0.750
Y10 0.601 0.399 0.250

Results
E_tot = -6.83 eV/atom
offset from the most stable computed form = 0.0000 eV per atom
total magnetization = 0.0 μB per formula unit


The following is a PBE calculation of a relaxed structure of YFe2Te, from Alexandria.

Cell lengths 5.346, 5.346, 5.346 Å; angles 134.91, 134.91, 65.67 degrees
Positions (direct):
Fe1 0.000 0.000 0.000
Fe2 0.250 0.750 0.500
Te1 0.500 0.500 0.000
Y1 0.750 0.250 0.500

Results
E_tot = -6.50 eV/atom
total magnetization = 4.4 μB per formula unit


The following is a PBE calculation of a relaxed structure of YFe2Te, from Alexandria.

Cell lengths 4.773, 4.773, 4.773 Å; angles 60.00, 60.00, 60.00 degrees
Positions (direct):
Fe1 0.000 0.000 0.000
Fe2 0.750 0.750 0.750
Te1 0.500 0.500 0.500
Y1 0.250 0.250 0.250

Results
E_tot = -6.42 eV/atom
total magnetization = 4.8 μB per formula unit


The following is a PBE calculation of a relaxed structure of Y7Fe2Te2, from Alexandria.

Cell lengths 3.931, 9.394, 9.394 Å; angles 60.49, 77.92, 77.92 degrees
Positions (direct):
Y1 0.814 0.084 0.287
Y2 0.851 0.408 0.889
Y3 0.500 0.023 0.977
Y4 0.633 0.473 0.261
Y5 0.367 0.739 0.527
Y6 0.186 0.713 0.916
Y7 0.149 0.111 0.592
Fe1 0.737 0.855 0.672
Fe2 0.263 0.328 0.145
Te1 0.000 0.760 0.240
Te2 0.500 0.358 0.642

Results
E_tot = -6.72 eV/atom
total magnetization = 1.5 μB per formula unit


The following is a PBE calculation of a relaxed structure of Y5Fe2Te2, from Alexandria.

Cell lengths 7.716, 7.646, 8.785 Å; angles 90.00, 63.95, 90.00 degrees
Positions (direct):
Y1 0.000 0.000 0.000
Y2 0.500 0.500 0.000
Y3 0.450 0.169 0.758
Y4 0.792 0.831 0.758
Y5 0.292 0.669 0.758
Y6 0.950 0.331 0.758
Y7 0.550 0.831 0.242
Y8 0.208 0.169 0.242
Y9 0.708 0.331 0.242
Y10 0.050 0.669 0.242
Fe1 0.108 0.396 0.000
Fe2 0.892 0.604 0.000
Fe3 0.392 0.896 0.000
Fe4 0.608 0.104 0.000
Te1 0.211 0.000 0.578
Te2 0.711 0.500 0.578
Te3 0.789 0.000 0.422
Te4 0.289 0.500 0.422

Results
E_tot = -6.76 eV/atom
offset from the most stable computed form = 0.0693 eV per atom
total magnetization = 1.3 μB per formula unit


The following is a PBE calculation of a relaxed structure of YFe2Te, from Alexandria.

Cell lengths 4.177, 3.777, 5.365 Å; angles 89.70, 90.00, 90.00 degrees
Positions (direct):
Fe1 0.000 0.247 0.001
Fe2 0.500 0.250 0.217
Te1 0.000 0.252 0.501
Y1 0.500 0.750 0.781

Results
E_tot = -6.67 eV/atom
total magnetization = 4.5 μB per formula unit


The following is a PBE calculation of a relaxed structure of YFe2Te, from Alexandria.

Cell lengths 4.344, 4.344, 5.483 Å; angles 66.62, 66.62, 59.96 degrees
Positions (direct):
Fe1 0.939 0.939 0.184
Fe2 0.561 0.561 0.316
Te1 0.250 0.250 0.250
Y1 0.750 0.750 0.750

Results
E_tot = -6.65 eV/atom
total magnetization = 3.1 μB per formula unit


| no. | DOS at the Fermi energy (states/eV/f.u.) | E_form (uncorrected) (eV/atom) |
| --- | --- | --- |
| 1 | 2.921 | 0.46 |
| 2 | 3.344 | 0.70 |
| 3 | 4.629 | 0.76 |
| 4 | 9.712 | 1.73 |
| 5 | 7.361 | 1.39 |
| 6 | 5.212 | -0.17 |
| 7 | 2.428 | 0.08 |
| 8 | 7.981 | -0.66 |
| 9 | 3.995 | 0.13 |
| 10 | 3.767 | 0.21 |
| 11 | 10.107 | -0.49 |
| 12 | 8.025 | -0.59 |
| 13 | 3.483 | -0.04 |
| 14 | 3.709 | -0.02 |